## KYHg2F8 (GGA-PBE)

Data for KYHg2F8 after structural relaxation.

abc: 4.038 5.736 8.046
angles: 89.99 90.00 89.86
Positions (direct):
K1 0.000 0.000 0.500
Y1 0.000 0.000 0.000
Hg1 0.500 0.500 0.739
Hg2 0.500 0.500 0.261
F1 0.001 0.747 0.216
F2 0.501 0.778 0.000
F3 0.999 0.253 0.216
F4 0.999 0.253 0.784
F5 0.499 0.222 0.000
F6 0.001 0.747 0.784
F7 0.501 0.729 0.500
F8 0.499 0.271 0.500

Values from the calculation:
**Formation energy (no corrections)**: -2535 meV per atom